[1]
{
  "formula": "Ac2LaN3",
  "functional": "PBE",
  "state": "optimized geometry",
  "cell": [[3.847, 0.000, 0.000], [0.000, 3.847, 0.000], [0.000, 0.000, 16.561]],
  "species": ["Ac", "Ac", "Ac", "Ac", "La", "La", "N", "N", "N", "N", "N", "N"],
  "fractional_positions": [[0.000, 0.000, 0.161], [0.000, 0.000, 0.839], [0.500, 0.500, 0.339], [0.500, 0.500, 0.661], [0.000, 0.000, 0.500], [0.500, 0.500, 0.000], [0.000, 0.000, 0.000], [0.000, 0.000, 0.345], [0.000, 0.000, 0.655], [0.500, 0.500, 0.155], [0.500, 0.500, 0.500], [0.500, 0.500, 0.845]],
  "formation_energy_uncorrected_mev_per_atom": -1142.4,
  "dft_energy_ev_per_cell": -89.9
}



[2]
{
  "formula": "BaIn6Pd4",
  "functional": "PBE",
  "state": "optimized geometry",
  "cell": [[7.938, 0.000, 0.000], [-3.969, 6.875, 0.000], [0.000, 0.000, 4.483]],
  "species": ["Ba", "In", "In", "In", "In", "In", "In", "Pd", "Pd", "Pd", "Pd"],
  "fractional_positions": [[0.000, 0.000, 0.000], [0.198, 0.397, 0.500], [0.198, 0.802, 0.500], [0.535, 0.070, 0.000], [0.535, 0.465, 0.000], [0.603, 0.802, 0.500], [0.930, 0.465, 0.000], [0.333, 0.667, 0.000], [0.419, 0.210, 0.500], [0.790, 0.210, 0.500], [0.790, 0.581, 0.500]],
  "dft_energy_ev_per_cell": -44.9
}



[3]
{
  "formula": "PrSm2Sc",
  "functional": "PBE",
  "state": "optimized geometry",
  "cell": [[3.570, 0.000, 0.000], [-1.785, 3.092, 0.000], [0.000, 0.000, 34.640]],
  "species": ["Pr", "Pr", "Pr", "Sm", "Sm", "Sm", "Sm", "Sm", "Sm", "Sc", "Sc", "Sc"],
  "fractional_positions": [[0.000, 0.000, 0.000], [0.333, 0.667, 0.667], [0.667, 0.333, 0.333], [0.000, 0.000, 0.245], [0.000, 0.000, 0.755], [0.333, 0.667, 0.422], [0.333, 0.667, 0.912], [0.667, 0.333, 0.088], [0.667, 0.333, 0.578], [0.000, 0.000, 0.500], [0.333, 0.667, 0.167], [0.667, 0.333, 0.833]],
  "dft_energy_ev_per_cell": -61.0
}



[4]
{
  "formula": "BaCuIr2",
  "functional": "PBE",
  "state": "optimized geometry",
  "cell": [[4.395, 0.000, 0.000], [-2.198, 3.806, 0.000], [0.000, 0.000, 16.797]],
  "species": ["Ba", "Ba", "Ba", "Cu", "Cu", "Cu", "Ir", "Ir", "Ir", "Ir", "Ir", "Ir"],
  "fractional_positions": [[0.000, 0.000, 0.000], [0.333, 0.667, 0.667], [0.667, 0.333, 0.333], [0.000, 0.000, 0.184], [0.333, 0.667, 0.851], [0.667, 0.333, 0.518], [0.000, 0.000, 0.487], [0.000, 0.000, 0.813], [0.333, 0.667, 0.153], [0.333, 0.667, 0.480], [0.667, 0.333, 0.146], [0.667, 0.333, 0.820]],
  "dft_energy_ev_per_cell": -72.9
}



Please write out number 4 again, unchanged.
{
  "formula": "BaCuIr2",
  "functional": "PBE",
  "state": "optimized geometry",
  "cell": [[4.395, 0.000, 0.000], [-2.198, 3.806, 0.000], [0.000, 0.000, 16.797]],
  "species": ["Ba", "Ba", "Ba", "Cu", "Cu", "Cu", "Ir", "Ir", "Ir", "Ir", "Ir", "Ir"],
  "fractional_positions": [[0.000, 0.000, 0.000], [0.333, 0.667, 0.667], [0.667, 0.333, 0.333], [0.000, 0.000, 0.184], [0.333, 0.667, 0.851], [0.667, 0.333, 0.518], [0.000, 0.000, 0.487], [0.000, 0.000, 0.813], [0.333, 0.667, 0.153], [0.333, 0.667, 0.480], [0.667, 0.333, 0.146], [0.667, 0.333, 0.820]],
  "dft_energy_ev_per_cell": -72.9
}